i:
Density functional theory data (PBE-GGA) for a relaxed Dy5Sb4P crystal.

Its density is 7.8 g/cm³.

Lattice parameters (Å, degrees): 7.466 7.466 7.466 99.66 99.66 131.63
Fractional coordinates of all 10 atoms:
Dy  0.000  0.000  0.000
Dy  0.217  0.403  0.620
Dy  0.403  0.783  0.185
Dy  0.597  0.217  0.815
Dy  0.783  0.597  0.380
Sb  0.094  0.697  0.791
Sb  0.303  0.094  0.397
Sb  0.697  0.906  0.603
Sb  0.906  0.303  0.209
P  0.500  0.500  0.000



ii:
Density functional theory data (PBE-GGA) for a relaxed Dy5Sb4P crystal.

Its density is 7.8 g/cm³.

Lattice parameters (Å, degrees): 15.529 15.529 15.529 164.01 164.01 22.69
Fractional coordinates of all 10 atoms:
Dy  0.000  0.000  0.000
Dy  0.201  0.201  0.000
Dy  0.408  0.408  0.000
Dy  0.592  0.592  0.000
Dy  0.799  0.799  0.000
Sb  0.099  0.099  0.000
Sb  0.303  0.303  0.000
Sb  0.697  0.697  0.000
Sb  0.901  0.901  0.000
P  0.500  0.500  0.000



Unit: meV per atom. Relative energies: i 0; ii 6.



i:
Density functional theory data (PBE-GGA) for a relaxed DyScP2 crystal.

Its density is 5.4 g/cm³.

Lattice parameters (Å, degrees): 3.888 3.888 6.713 106.87 106.87 60.04
Fractional coordinates of all 4 atoms:
Dy  0.000  0.000  0.000
Sc  0.500  0.500  0.500
P  0.245  0.245  0.735
P  0.755  0.755  0.265



ii:
Density functional theory data (PBE-GGA) for a relaxed DyScP2 crystal.

Its density is 5.3 g/cm³.

Lattice parameters (Å, degrees): 6.942 6.942 6.942 32.20 32.20 32.20
Fractional coordinates of all 4 atoms:
Dy  0.000  0.000  0.000
Sc  0.172  0.172  0.172
P  0.580  0.580  0.580
P  0.759  0.759  0.759



Unit: meV per atom. Relative energies: i 0; ii 150.



i:
Density functional theory data (PBE-GGA) for a relaxed Dy2SiP crystal.

Its density is 7.1 g/cm³.

Lattice parameters (Å, degrees): 11.289 11.289 3.894 90.00 90.00 158.83
Fractional coordinates of all 8 atoms:
Dy  0.067  0.933  0.750
Dy  0.313  0.687  0.750
Dy  0.687  0.313  0.250
Dy  0.933  0.067  0.250
Si  0.464  0.536  0.750
Si  0.536  0.464  0.250
P  0.188  0.812  0.750
P  0.812  0.188  0.250



ii:
Density functional theory data (PBE-GGA) for a relaxed Dy2SiP crystal.

Its density is 5.6 g/cm³.

Lattice parameters (Å, degrees): 9.238 9.238 9.238 23.82 23.82 23.82
Fractional coordinates of all 4 atoms:
Dy  0.106  0.106  0.106
Dy  0.894  0.894  0.894
Si  0.000  0.000  0.000
P  0.500  0.500  0.500



Unit: meV per atom. Relative energies: i 0; ii 818.



i:
Density functional theory data (PBE-GGA) for a relaxed DyTcP crystal.

Its density is 8.4 g/cm³.

Lattice parameters (Å, degrees): 4.075 4.075 3.991 90.00 90.00 120.00
Fractional coordinates of all 3 atoms:
Dy  0.000  0.000  0.000
Tc  0.667  0.333  0.500
P  0.333  0.667  0.500



ii:
Density functional theory data (PBE-GGA) for a relaxed DyTcP crystal.

Its density is 7.4 g/cm³.

Lattice parameters (Å, degrees): 4.961 4.961 7.923 110.33 110.33 46.85
Fractional coordinates of all 6 atoms:
Dy  0.199  0.199  0.156
Dy  0.801  0.801  0.844
Tc  0.168  0.168  0.507
Tc  0.832  0.832  0.493
P  0.072  0.072  0.757
P  0.928  0.928  0.243



Unit: meV per atom. Relative energies: i 0; ii 173.



i:
Density functional theory data (PBE-GGA) for a relaxed DyTc3P3 crystal.

Its density is 7.2 g/cm³.

Lattice parameters (Å, degrees): 7.636 7.636 7.636 51.78 51.78 51.78
Fractional coordinates of all 14 atoms:
Dy  0.166  0.166  0.166
Dy  0.834  0.834  0.834
Tc  0.003  0.733  0.400
Tc  0.267  0.600  0.997
Tc  0.400  0.003  0.733
Tc  0.600  0.997  0.267
Tc  0.733  0.400  0.003
Tc  0.997  0.267  0.600
P  0.121  0.393  0.712
P  0.288  0.879  0.607
P  0.393  0.712  0.121
P  0.607  0.288  0.879
P  0.712  0.121  0.393
P  0.879  0.607  0.288



ii:
Density functional theory data (PBE-GGA) for a relaxed DyTc3P3 crystal.

Its density is 6.8 g/cm³.

Lattice parameters (Å, degrees): 6.437 6.437 6.437 90.00 90.00 90.00
Fractional coordinates of all 14 atoms:
Dy  0.000  0.000  0.000
Dy  0.500  0.500  0.500
Tc  0.000  0.250  0.500
Tc  0.000  0.750  0.500
Tc  0.250  0.500  0.000
Tc  0.500  0.000  0.250
Tc  0.500  0.000  0.750
Tc  0.750  0.500  0.000
P  0.000  0.500  0.250
P  0.000  0.500  0.750
P  0.250  0.000  0.500
P  0.500  0.250  0.000
P  0.500  0.750  0.000
P  0.750  0.000  0.500



Unit: meV per atom. Relative energies: i 0; ii 413.



i:
Density functional theory data (PBE-GGA) for a relaxed Dy3Te2P crystal.

Its density is 7.9 g/cm³.

Lattice parameters (Å, degrees): 7.279 7.279 7.465 99.38 99.38 119.89
Fractional coordinates of all 12 atoms:
Dy  0.067  0.426  0.782
Dy  0.211  0.211  0.212
Dy  0.426  0.067  0.782
Dy  0.574  0.933  0.218
Dy  0.789  0.789  0.788
Dy  0.933  0.574  0.218
Te  0.000  0.000  0.500
Te  0.342  0.658  0.500
Te  0.500  0.500  0.000
Te  0.658  0.342  0.500
P  0.168  0.832  0.000
P  0.832  0.168  0.000



ii:
Density functional theory data (PBE-GGA) for a relaxed Dy3Te2P crystal.

Its density is 7.9 g/cm³.

Lattice parameters (Å, degrees): 7.361 7.361 7.240 99.89 99.89 118.66
Fractional coordinates of all 12 atoms:
Dy  0.000  0.500  0.000
Dy  0.134  0.275  0.493
Dy  0.275  0.134  0.993
Dy  0.500  0.000  0.500
Dy  0.725  0.866  0.007
Dy  0.866  0.725  0.507
Te  0.262  0.738  0.750
Te  0.421  0.579  0.250
Te  0.579  0.421  0.750
Te  0.738  0.262  0.250
P  0.091  0.909  0.250
P  0.909  0.091  0.750



Unit: meV per atom. Relative energies: i 0; ii 35.



i:
Density functional theory data (PBE-GGA) for a relaxed DyThP2 crystal.

Its density is 7.9 g/cm³.

Lattice parameters (Å, degrees): 4.065 4.065 13.397 90.00 90.00 120.00
Fractional coordinates of all 8 atoms:
Dy  0.333  0.667  0.250
Dy  0.667  0.333  0.750
Th  0.000  0.000  0.000
Th  0.000  0.000  0.500
P  0.333  0.667  0.627
P  0.333  0.667  0.873
P  0.667  0.333  0.127
P  0.667  0.333  0.373



ii:
Density functional theory data (PBE-GGA) for a relaxed DyThP2 crystal.

Its density is 7.7 g/cm³.

Lattice parameters (Å, degrees): 7.326 7.326 7.326 31.96 31.96 31.96
Fractional coordinates of all 4 atoms:
Dy  0.000  0.000  0.000
Th  0.826  0.826  0.826
P  0.246  0.246  0.246
P  0.411  0.411  0.411



iii:
Density functional theory data (PBE-GGA) for a relaxed DyThP2 crystal.

Its density is 7.9 g/cm³.

Lattice parameters (Å, degrees): 7.026 7.026 7.026 33.82 33.82 33.82
Fractional coordinates of all 4 atoms:
Dy  0.000  0.000  0.000
Th  0.500  0.500  0.500
P  0.252  0.252  0.252
P  0.748  0.748  0.748



Unit: meV per atom. Relative energies: i 53; ii 176; iii 0.



i:
Density functional theory data (PBE-GGA) for a relaxed DyThP crystal.

Its density is 8.5 g/cm³.

Lattice parameters (Å, degrees): 3.837 3.837 13.034 90.00 90.00 120.00
Fractional coordinates of all 6 atoms:
Dy  0.000  0.000  0.222
Dy  0.000  0.000  0.778
Th  0.000  0.000  0.500
Th  0.667  0.333  0.000
P  0.667  0.333  0.353
P  0.667  0.333  0.647



ii:
Density functional theory data (PBE-GGA) for a relaxed DyThP crystal.

Its density is 8.2 g/cm³.

Lattice parameters (Å, degrees): 3.895 3.895 6.566 90.00 90.00 120.00
Fractional coordinates of all 3 atoms:
Dy  0.000  0.000  0.000
Th  0.667  0.333  0.490
P  0.333  0.667  0.757



Unit: meV per atom. Relative energies: i 96; ii 0.